1.
Ta3CdN2: relaxed, GGA-PBE.

Unit cell a=3.0983 b=3.0983 c=19.8376 alpha=90.00 beta=90.00 gamma=120.00
Element x y z (fractional)
Ta1 0.0000 0.0000 0.0000
Ta2 0.0000 0.0000 0.5000
Ta3 0.3333 0.6667 0.1265
Ta4 0.3333 0.6667 0.3735
Ta5 0.6667 0.3333 0.6265
Ta6 0.6667 0.3333 0.8735
Cd1 0.0000 0.0000 0.2500
Cd2 0.0000 0.0000 0.7500
N1 0.3333 0.6667 0.5639
N2 0.3333 0.6667 0.9361
N3 0.6667 0.3333 0.0639
N4 0.6667 0.3333 0.4361

Properties
Its space group is P6_3/mmc (194). The theoretical density is 13760 kg/m3. Its total DFT energy (no corrections) is -9.4142 eV per atom.



2.
Ta4CdN3: relaxed, GGA-PBE.

Unit cell a=3.0752 b=3.0752 c=25.2815 alpha=90.00 beta=90.00 gamma=120.00
Element x y z (fractional)
Ta1 0.0000 0.0000 0.1530
Ta2 0.0000 0.0000 0.3470
Ta3 0.0000 0.0000 0.6530
Ta4 0.0000 0.0000 0.8470
Ta5 0.3333 0.6667 0.0514
Ta6 0.3333 0.6667 0.4486
Ta7 0.6667 0.3333 0.5514
Ta8 0.6667 0.3333 0.9486
Cd1 0.3333 0.6667 0.2500
Cd2 0.6667 0.3333 0.7500
N1 0.0000 0.0000 0.0000
N2 0.0000 0.0000 0.5000
N3 0.3333 0.6667 0.6034
N4 0.3333 0.6667 0.8966
N5 0.6667 0.3333 0.1034
N6 0.6667 0.3333 0.3966

Properties
Its space group is P6_3/mmc (194). The theoretical density is 14087 kg/m3. Its total DFT energy (no corrections) is -9.7843 eV per atom.



3.
Ta2Cd3N6: relaxed, GGA-PBE.

Unit cell a=11.0863 b=11.0863 c=11.0863 alpha=160.43 beta=160.43 gamma=27.81
Element x y z (fractional)
Ta1 0.1072 0.1072 0.0000
Ta2 0.8928 0.8928 0.0000
Cd1 0.3004 0.3004 0.0000
Cd2 0.5000 0.5000 0.0000
Cd3 0.6996 0.6996 0.0000
N1 0.0741 0.5741 0.5000
N2 0.1978 0.1978 0.0000
N3 0.4259 0.9259 0.5000
N4 0.5741 0.0741 0.5000
N5 0.8022 0.8022 0.0000
N6 0.9259 0.4259 0.5000

Properties
Its space group is I4/mmm (139). The theoretical density is 8515 kg/m3. Its total DFT energy (no corrections) is -6.8827 eV per atom.



4.
Y2Ta4Cd3N3: relaxed, GGA-PBE.

Unit cell a=5.7287 b=5.7287 c=14.5246 alpha=101.64 beta=101.64 gamma=60.04
Element x y z (fractional)
Y1 0.0381 0.8784 0.6110
Y2 0.1216 0.9619 0.8890
Y3 0.8784 0.0381 0.1110
Y4 0.9619 0.1216 0.3890
Ta1 0.1903 0.3489 0.0703
Ta2 0.3005 0.4856 0.4297
Ta3 0.3489 0.1903 0.5703
Ta4 0.4856 0.3005 0.9297
Ta5 0.5144 0.6995 0.0703
Ta6 0.6511 0.8097 0.4297
Ta7 0.6995 0.5144 0.5703
Ta8 0.8097 0.6511 0.9297
Cd1 0.0852 0.3922 0.7511
Cd2 0.3922 0.0852 0.2511
Cd3 0.4406 0.5594 0.2500
Cd4 0.5594 0.4406 0.7500
Cd5 0.6078 0.9148 0.7489
Cd6 0.9148 0.6078 0.2489
N1 0.0000 0.5000 0.5000
N2 0.1647 0.6706 0.9997
N3 0.3294 0.8353 0.5003
N4 0.5000 0.0000 0.0000
N5 0.6706 0.1647 0.4997
N6 0.8353 0.3294 0.0003

Properties
Its space group is C2/c (15). The theoretical density is 10591 kg/m3. Its total DFT energy (no corrections) is -8.0262 eV per atom.



5.
Zr2Ta4Cd3N3: relaxed, GGA-PBE.

Unit cell a=5.5387 b=5.5387 c=14.7308 alpha=100.75 beta=100.75 gamma=60.14
Element x y z (fractional)
Zr1 0.0326 0.8698 0.5980
Zr2 0.1302 0.9674 0.9020
Zr3 0.8698 0.0326 0.0980
Zr4 0.9674 0.1302 0.4020
Ta1 0.1911 0.3535 0.0758
Ta2 0.3037 0.4808 0.4242
Ta3 0.3535 0.1911 0.5758
Ta4 0.4808 0.3037 0.9242
Ta5 0.5192 0.6963 0.0758
Ta6 0.6465 0.8089 0.4242
Ta7 0.6963 0.5192 0.5758
Ta8 0.8089 0.6465 0.9242
Cd1 0.0823 0.3215 0.7510
Cd2 0.3215 0.0823 0.2510
Cd3 0.4838 0.5162 0.7500
Cd4 0.5162 0.4838 0.2500
Cd5 0.6785 0.9177 0.7490
Cd6 0.9177 0.6785 0.2490
N1 0.0000 0.5000 0.5000
N2 0.1629 0.6735 0.9999
N3 0.3265 0.8371 0.5001
N4 0.5000 0.0000 0.0000
N5 0.6735 0.1629 0.4999
N6 0.8371 0.3265 0.0001

Properties
Its space group is C2/c (15). The theoretical density is 11155 kg/m3. Its total DFT energy (no corrections) is -8.3123 eV per atom.



6.
TbCd3N: relaxed, GGA-PBE.

Unit cell a=4.7353 b=4.7353 c=4.7353 alpha=90.00 beta=90.00 gamma=90.00
Element x y z (fractional)
Tb1 0.0000 0.0000 0.0000
Cd1 0.0000 0.5000 0.5000
Cd2 0.5000 0.0000 0.5000
Cd3 0.5000 0.5000 0.0000
N1 0.5000 0.5000 0.5000

Properties
Its space group is Pm-3m (221). The theoretical density is 7979 kg/m3. Its total DFT energy (no corrections) is -2.6817 eV per atom.